This record from the Open Quantum Materials Database describes a relaxed structure of GdErPbC. The functional is GGA-PBE.

Cell lengths 3.6397, 3.6397, 16.1683 Å; angles 90.00, 90.00, 120.00 degrees
With the nearest neighbours (Å) after each atom.
Space group P6_3mc (No. 186)
Unique sites:
Gd: 0.3333 0.6667 0.0000 (multiplicity 2)  3 C 2.51
Er: 0.3333 0.6667 0.6652 (multiplicity 2)  3 C 2.47
Pb: 0.3333 0.6667 0.3309 (multiplicity 2)  3 Er 3.41, 3 Gd 3.45, 6 Pb 3.64
C: 0.0000 0.0000 0.0847 (multiplicity 2)  3 Er 2.47, 3 Gd 2.51

Properties
total magnetic moment: 0.0035 μB/atom


This record from the Open Quantum Materials Database describes a relaxed structure of PdF2. The functional is GGA-PBE.

Cell lengths 4.0884, 3.5217, 5.6878 Å; angles 90.00, 111.35, 90.00 degrees
With the nearest neighbours (Å) after each atom.
Space group P2_1/c (No. 14)
Unique sites:
Pd: 0.0000 0.0000 0.0000 (multiplicity 2)  4 F 2.00
F: 0.2883 0.2436 0.8228 (multiplicity 4)  2 Pd 2.00


This record from the Open Quantum Materials Database describes a relaxed structure of PrPaNO. The functional is GGA-PBE.

Cell lengths 4.1379, 7.1521, 5.1109 Å; angles 90.00, 90.00, 90.00 degrees
With the nearest neighbours (Å) after each atom.
Space group Pmc2_1 (No. 26)
Unique sites:
Pr: 0.0000 0.1612 0.0000 (multiplicity 2)  3 O 2.48-2.57, 2 N 2.48
Pa: 0.5000 0.3318 0.4991 (multiplicity 2)  1 N 2.25, 2 O 2.32
N: 0.5000 0.3533 0.9945 (multiplicity 2)  1 Pa 2.25, 2 Pr 2.48
O: 0.0000 0.1854 0.5020 (multiplicity 2)  2 Pa 2.32, 3 Pr 2.48-2.57

Properties
total magnetic moment: 0.2063 μB/atom


This record from the Open Quantum Materials Database describes a relaxed structure of CoReBPd. The functional is GGA-PBE.

Cell lengths 5.7653, 5.7653, 5.7653 Å; angles 90.00, 90.00, 90.00 degrees
With the nearest neighbours (Å) after each atom.
Space group F-43m (No. 216)
Unique sites:
Co: 0.0000 0.0000 0.0000 (multiplicity 4)  4 B 2.50, 4 Pd 2.50
Re: 0.0000 0.0000 0.5000 (multiplicity 4)  4 B 2.50, 4 Pd 2.50
B: 0.2500 0.2500 0.7500 (multiplicity 4)  4 Co 2.50, 4 Re 2.50
Pd: 0.2500 0.2500 0.2500 (multiplicity 4)  4 Co 2.50, 4 Re 2.50

Properties
total magnetic moment: 0.0005 μB/atom


This record from the Open Quantum Materials Database describes a relaxed structure of HfTlPdSe3. The functional is GGA-PBE.

Cell lengths 8.3132, 3.8065, 10.2783 Å; angles 90.00, 111.71, 90.00 degrees
With the nearest neighbours (Å) after each atom.
Space group P2_1/m (No. 11)
Unique sites:
Hf: 0.1959 0.2500 0.1659 (multiplicity 2)  6 Se 2.67-2.77
Tl: 0.2427 0.7500 0.7122 (multiplicity 2)  6 Se 3.28-3.40
Pd: 0.4040 0.7500 0.3944 (multiplicity 2)  3 Se 2.50-2.60
Se: 0.0564 0.2500 0.8760 (multiplicity 2)  3 Hf 2.75-2.77
Se: 0.2342 0.2500 0.4358 (multiplicity 2)  2 Pd 2.50, 1 Hf 2.67
Se: 0.4111 0.7500 0.1436 (multiplicity 2)  1 Pd 2.60, 2 Hf 2.68

Properties
total magnetic moment: 0.0003 μB/atom


This record from the Open Quantum Materials Database describes a relaxed structure of TmPtNO. The functional is GGA-PBE.

Cell lengths 3.8529, 3.8529, 7.2914 Å; angles 90.00, 90.00, 90.00 degrees
With the nearest neighbours (Å) after each atom.
Space group P4/nmm (No. 129, origin choice 2)
Unique sites:
Tm: 0.2500 0.2500 0.1440 (multiplicity 2)  4 O 2.19
Pt: 0.2500 0.7500 0.5000 (multiplicity 2)  4 N 2.27
N: 0.2500 0.2500 0.6658 (multiplicity 2)  4 Pt 2.27
O: 0.2500 0.7500 0.0000 (multiplicity 2)  4 Tm 2.19

Properties
total magnetic moment: 0.3442 μB/atom


| no. | V (Å³/f.u.) | total energy (eV for the cell shown) | calculated density (g/cm³) |
| --- | --- | --- | --- |
| 1 | 92.7 | -48.160 | 9.7 |
| 2 | 38.1 | -24.364 | 6.3 |
| 3 | 75.6 | -66.624 | 8.8 |
| 4 | 47.9 | -115.973 | 12.6 |
| 5 | 151.1 | -66.010 | 8.0 |
| 6 | 54.1 | -56.119 | 12.1 |